A relaxed La4MgIn crystal. Source: the Alexandria database, functional PBE.

Values from the calculation:
- electronic total energy (eV/f.u.) = -23.12
- space-group type = F-43m (216)

Cell: 6.579 6.579 6.579 Å, 60.00 60.00 60.00°
Atoms (fractional coordinates):
1 La 0.376 0.376 0.376
2 La 0.376 0.376 0.871
3 La 0.376 0.871 0.376
4 La 0.871 0.376 0.376
5 Mg 0.000 0.000 0.000
6 In 0.750 0.750 0.750

---

A relaxed TlPbO3 crystal. Source: the Alexandria database, functional PBE.

Values from the calculation:
- energy relative to the elements, uncorrected (eV/atom) = -0.427
- space-group type = Pm-3m (221)

Cell: 4.245 4.245 4.245 Å, 90.00 90.00 90.00°
Atoms (fractional coordinates):
1 Tl 0.000 0.000 0.000
2 Pb 0.500 0.500 0.500
3 O 0.000 0.500 0.500
4 O 0.500 0.000 0.500
5 O 0.500 0.500 0.000

---

A relaxed Pm2SmPd crystal. Source: the Alexandria database, functional PBE.

Values from the calculation:
- electronic total energy (eV/f.u.) = -20.46
- space-group type = R3m (160)

Cell: 9.794 9.794 9.794 Å, 22.87 22.87 22.87°
Atoms (fractional coordinates):
1 Pm 0.000 0.000 0.000
2 Pm 0.204 0.204 0.204
3 Sm 0.436 0.436 0.436
4 Pd 0.602 0.602 0.602

---

A relaxed Ac12Ni5Rh crystal. Source: the Alexandria database, functional PBE.

Values from the calculation:
- electronic total energy (eV/f.u.) = -89.37
- space-group type = C2/m (12)

Cell: 7.494 7.494 13.871 Å, 90.02 90.02 121.24°
Atoms (fractional coordinates):
1 Ac 0.004 0.670 0.614
2 Ac 0.161 0.161 0.115
3 Ac 0.168 0.503 0.885
4 Ac 0.330 0.996 0.386
5 Ac 0.337 0.337 0.615
6 Ac 0.497 0.832 0.115
7 Ac 0.503 0.168 0.885
8 Ac 0.663 0.663 0.385
9 Ac 0.670 0.004 0.614
10 Ac 0.832 0.497 0.115
11 Ac 0.839 0.839 0.885
12 Ac 0.996 0.330 0.386
13 Ni 0.000 0.000 0.500
14 Ni 0.167 0.833 0.000
15 Ni 0.334 0.666 0.500
16 Ni 0.666 0.334 0.500
17 Ni 0.833 0.167 0.000
18 Rh 0.500 0.500 0.000

---

Q: Number 2 is which compound?
A: TlPbO3

---

Copy entry 4 word for word.
A relaxed Ac12Ni5Rh crystal. Source: the Alexandria database, functional PBE.

Values from the calculation:
- electronic total energy (eV/f.u.) = -89.37
- space-group type = C2/m (12)

Cell: 7.494 7.494 13.871 Å, 90.02 90.02 121.24°
Atoms (fractional coordinates):
1 Ac 0.004 0.670 0.614
2 Ac 0.161 0.161 0.115
3 Ac 0.168 0.503 0.885
4 Ac 0.330 0.996 0.386
5 Ac 0.337 0.337 0.615
6 Ac 0.497 0.832 0.115
7 Ac 0.503 0.168 0.885
8 Ac 0.663 0.663 0.385
9 Ac 0.670 0.004 0.614
10 Ac 0.832 0.497 0.115
11 Ac 0.839 0.839 0.885
12 Ac 0.996 0.330 0.386
13 Ni 0.000 0.000 0.500
14 Ni 0.167 0.833 0.000
15 Ni 0.334 0.666 0.500
16 Ni 0.666 0.334 0.500
17 Ni 0.833 0.167 0.000
18 Rh 0.500 0.500 0.000